Entry 1:
## Ba2AlSe (GGA-PBE)

Data for an optimized crystal structure of Ba2AlSe.

abc: 7.6661 7.6661 7.6661
angles: 109.68 109.68 109.05
Closest atoms and distances in Å follow each position.
Fractional positions:
Ba: 0.0945 0.1250 0.4695  2 Se 3.14, 2 Al 3.50
Ba: 0.3750 0.9055 0.0305  2 Se 3.14, 2 Al 3.50
Ba: 0.6555 0.6250 0.5305  2 Se 3.14, 2 Al 3.50
Ba: 0.8750 0.3445 0.9695  2 Se 3.14, 2 Al 3.50
Al: 0.2500 0.7500 0.5000  4 Ba 3.50
Al: 0.5000 0.5000 0.0000  4 Ba 3.50
Se: 0.0000 0.0000 0.0000  4 Ba 3.14
Se: 0.7500 0.2500 0.5000  4 Ba 3.14

Space group: I-42d
ΔE to the lowest computed polymorph in eV/atom: 0.214

---

Entry 2:
## BaAlSe (GGA-PBE)

Data for an optimized crystal structure of BaAlSe.

abc: 6.4687 6.4687 6.4687
angles: 138.05 138.05 60.83
Closest atoms and distances in Å follow each position.
Fractional positions:
Ba: 0.0000 0.0000 0.0000  4 Se 3.29, 1 Al 3.44
Al: 0.3080 0.3080 0.0000  1 Se 2.44
Se: 0.5263 0.5263 0.0000  1 Al 2.44

Space group: I4mm
ΔE to the lowest computed polymorph in eV/atom: 0.078

---

Entry 3:
## BaAlSe2 (GGA-PBE)

Data for an optimized crystal structure of BaAlSe2.

abc: 5.8459 5.8459 5.8459
angles: 142.17 114.06 78.61
Closest atoms and distances in Å follow each position.
Fractional positions:
Ba: 0.0000 0.0000 0.0000  8 Se 3.43-3.59, 4 Al 3.70, 2 Ba 3.79
Al: 0.5000 0.5000 0.0000  4 Se 2.52
Se: 0.3167 0.8167 0.5000  2 Al 2.52
Se: 0.6833 0.1833 0.5000  2 Al 2.52

Space group: Immm
E_tot in eV/atom: -4.13